1.
This record from Alexandria describes OsRhSe2 after structural relaxation. The functional is PBE.

Computed properties:
Energy relative to the elements, uncorrected   0.681 eV/atom
Calculated total energy   -22.827 eV for the cell shown
N(E_F)   4.80 states/eV/f.u.

Structure (POSCAR):
```
OsRhSe2
1.0
1.4663 -2.5506 0.0000
1.4663 2.5506 0.0000
0.0000 0.0000 8.7200
Os Rh Se
1 1 2
Direct
0.0000 0.0000 0.0000
0.0000 0.0000 0.5000
0.5000 0.5000 0.2460
0.5000 0.5000 0.7540
```

***

2.
This record from Alexandria describes OsRhSe after structural relaxation. The functional is PBE.

Computed properties:
Energy relative to the elements, uncorrected   0.406 eV/atom
Calculated total energy   -20.848 eV for the cell shown
N(E_F)   1.93 states/eV/f.u.

Structure (POSCAR):
```
OsRhSe
1.0
-1.4509 1.4509 5.5543
1.4509 -1.4509 5.5543
1.4509 1.4509 -5.5543
Os Rh Se
1 1 1
Direct
0.0000 0.0000 0.0000
0.3420 0.3420 0.0000
0.6482 0.6482 0.0000
```